# Te2RuBr

A crystal of Te2RuBr relaxed with PBEsol (SCAN, Alexandria via LeMat-Bulk).

The structure in POSCAR format:
```
Te2RuBr
1.0
4.915 0.002 0.003
-1.789 4.578 -0.003
-1.789 -2.136 4.049
Ru Te Br
1 2 1
direct
0.000 0.000 0.000
0.500 0.500 0.000
0.500 0.000 0.500
0.000 0.500 0.500
```

## Properties
DOS at the Fermi energy (states/eV/atom): 0.7167
Magnetization (μB/f.u.): 0.00
Formation energy (no corrections) (eV/atom): 0.558

***

# TeRuBr

A crystal of TeRuBr relaxed with PBEsol (SCAN, Alexandria via LeMat-Bulk).

The structure in POSCAR format:
```
TeRuBr
1.0
-1.104 -0.528 3.604
3.656 -0.454 -0.956
0.947 5.364 1.075
Ru Te Br
1 1 1
direct
0.333 0.667 0.653
0.667 0.333 0.423
0.000 0.000 0.924
```

## Properties
DOS at the Fermi energy (states/eV/atom): 0.7058
Magnetization (μB/f.u.): 0.00
Formation energy (no corrections) (eV/atom): -0.157

***

# TeRuBr4

A crystal of TeRuBr4 relaxed with PBEsol (SCAN, Alexandria via LeMat-Bulk).

The structure in POSCAR format:
```
TeRuBr4
1.0
-4.293 -3.951 1.105
1.406 -5.540 1.610
-1.001 -1.819 5.563
Ru Te Br
1 1 4
direct
0.750 0.750 0.750
0.000 0.000 0.000
0.376 0.376 0.376
0.376 0.376 0.873
0.873 0.376 0.376
0.376 0.873 0.376
```

## Properties
DOS at the Fermi energy (states/eV/atom): 0.9971
Magnetization (μB/f.u.): 4.21
Formation energy (no corrections) (eV/atom): 1.278

***

# YTe2RuBr

A crystal of YTe2RuBr relaxed with PBEsol (SCAN, Alexandria via LeMat-Bulk).

The structure in POSCAR format:
```
YTe2RuBr
1.0
5.019 0.000 0.000
0.000 5.605 0.000
0.000 0.000 5.605
Y Ru Te Br
1 1 2 1
direct
0.500 0.000 0.000
0.500 0.500 0.500
0.000 0.000 0.500
0.000 0.500 0.000
0.000 0.000 0.000
```

## Properties
DOS at the Fermi energy (states/eV/atom): 0.6587
Magnetization (μB/f.u.): 2.99
Formation energy (no corrections) (eV/atom): 0.970

***

# TlRu2Br

A crystal of TlRu2Br relaxed with PBEsol (SCAN, Alexandria via LeMat-Bulk).

The structure in POSCAR format:
```
TlRu2Br
1.0
2.971 0.000 0.000
0.000 2.978 0.008
0.000 -1.375 8.603
Ru Tl Br
2 1 1
direct
0.000 0.834 0.037
0.500 0.412 0.206
0.000 0.027 0.454
0.500 0.727 0.803
```

## Properties
DOS at the Fermi energy (states/eV/atom): 0.9254
Magnetization (μB/f.u.): 0.00
Formation energy (no corrections) (eV/atom): 0.419

***

# TlRu2Br

A crystal of TlRu2Br relaxed with PBEsol (SCAN, Alexandria via LeMat-Bulk).

The structure in POSCAR format:
```
TlRu2Br
1.0
-0.224 -1.899 2.490
2.566 1.319 1.237
-3.797 4.492 3.085
Ru Tl Br
2 1 1
direct
0.000 0.000 0.730
0.000 0.000 0.270
0.500 0.500 0.000
0.500 0.500 0.500
```

## Properties
DOS at the Fermi energy (states/eV/atom): 0.7241
Magnetization (μB/f.u.): 0.00
Formation energy (no corrections) (eV/atom): 0.992

***

What is the magnetization in the third record?
4.21 μB/f.u.

***

What did the fourth record say?
# YTe2RuBr

A crystal of YTe2RuBr relaxed with PBEsol (SCAN, Alexandria via LeMat-Bulk).

The structure in POSCAR format:
```
YTe2RuBr
1.0
5.019 0.000 0.000
0.000 5.605 0.000
0.000 0.000 5.605
Y Ru Te Br
1 1 2 1
direct
0.500 0.000 0.000
0.500 0.500 0.500
0.000 0.000 0.500
0.000 0.500 0.000
0.000 0.000 0.000
```

## Properties
DOS at the Fermi energy (states/eV/atom): 0.6587
Magnetization (μB/f.u.): 2.99
Formation energy (no corrections) (eV/atom): 0.970

***

Which formula does entry 6 have?
TlRu2Br

***

What is the formation energy (no corrections) in the sixth record?
0.992 eV/atom